VASP calculation (PBE) on a relaxed structure of SrY2Rh.

Unit cell a=5.280 b=5.280 c=5.280 alpha=60.00 beta=60.00 gamma=60.00
Fractional positions:
Y  0.250  0.250  0.250
Y  0.750  0.750  0.750
Sr  0.000  0.000  0.000
Rh  0.500  0.500  0.500

Output
DFT formation energy = 0.2 eV per formula unit
calculated total energy = -5.451 eV per atom
D(E_F) = 3.9 states/eV/f.u.
volume = 104 Å³/cell

VASP calculation (PBE) on a relaxed structure of LaFePt2.

Unit cell a=4.740 b=4.740 c=4.740 alpha=60.00 beta=60.00 gamma=60.00
Last column: magnetic moment on the atom in μB.
Fractional positions:
Fe  0.500  0.500  0.500  2.83
La  0.750  0.750  0.750  -0.08
Pt  0.000  0.000  0.000  0.05
Pt  0.250  0.250  0.250  0.16

Output
DFT formation energy = -1.1 eV per formula unit
calculated total energy = -6.643 eV per atom
D(E_F) = 2.7 states/eV/f.u.
volume = 75 Å³/cell

| no. | ΔE to the lowest computed polymorph (meV per atom) |
| --- | --- |
| 1 | 386 |
| 2 | 400 |